1.
## Ru2SeCl (PBEsol)

Data for a relaxed structure of Ru2SeCl.

Unit cell a=3.5499 b=3.5499 c=9.3988 alpha=90.00 beta=90.00 gamma=90.00
With the nearest neighbours (Å) after each atom.
Space group I-4m2 (No. 119)
One atom of each set of equivalent atoms:
Ru 0.0000 0.0000 0.0000 x2  4 Se 2.51
Ru 0.0000 0.5000 0.2500 x2  4 Cl 2.51
Se 0.0000 0.0000 0.5000 x2  4 Ru 2.51
Cl 0.0000 0.5000 0.7500 x2  4 Ru 2.51

Output
DOS at the Fermi energy ... 5.7 states/eV/f.u.
Energy above the most stable polymorph in this dataset ... 488 meV per atom
ΔE_f (raw) ... 0.7540 eV/atom
ρ ... 8876 kg/m³

2.
## Ru2SeCl (PBEsol)

Data for a relaxed structure of Ru2SeCl.

Unit cell a=6.1048 b=6.1048 c=6.1048 alpha=90.00 beta=90.00 gamma=90.00
With the nearest neighbours (Å) after each atom.
Space group Fm-3m (No. 225)
One atom of each set of equivalent atoms:
Ru 0.2500 0.2500 0.2500 x8  4 Cl 2.64, 4 Se 2.64
Se 0.0000 0.0000 0.0000 x4  8 Ru 2.64
Cl 0.0000 0.0000 0.5000 x4  8 Ru 2.64

Output
DOS at the Fermi energy ... 4.3 states/eV/f.u.
Energy above the most stable polymorph in this dataset ... 243 meV per atom
ΔE_f (raw) ... 0.5082 eV/atom
ρ ... 9241 kg/m³

3.
## RuSe2Cl (PBEsol)

Data for a relaxed structure of RuSe2Cl.

Unit cell a=6.5092 b=6.5092 c=9.1853 alpha=90.00 beta=90.00 gamma=90.00
With the nearest neighbours (Å) after each atom.
Space group I-42d (No. 122)
One atom of each set of equivalent atoms:
Ru 0.0000 0.0000 0.0000 x4  4 Se 2.30
Se 0.1772 0.7500 0.1250 x8  2 Ru 2.30
Cl 0.0000 0.0000 0.5000 x4  4 Se 2.89

Output
DOS at the Fermi energy ... 2.4 states/eV/f.u.
Energy above the most stable polymorph in this dataset ... 0 meV per atom
ΔE_f (raw) ... 0.0572 eV/atom
ρ ... 5025 kg/m³

4.
## Si2RuCl (PBEsol)

Data for a relaxed structure of Si2RuCl.

Unit cell a=2.9237 b=2.9237 c=6.9453 alpha=90.00 beta=90.00 gamma=90.00
With the nearest neighbours (Å) after each atom.
Space group P4/mmm (No. 123)
One atom of each set of equivalent atoms:
Si 0.0000 0.0000 0.2088 x2  4 Ru 2.53
Ru 0.5000 0.5000 0.0000 x1  8 Si 2.53
Cl 0.5000 0.5000 0.5000 x1  8 Si 2.89, 4 Cl 2.92

Output
DOS at the Fermi energy ... 1.2 states/eV/f.u.
ΔE_f (raw) ... -0.0990 eV/atom
ρ ... 5390 kg/m³

5.
## SiRuCl (PBEsol)

Data for a relaxed structure of SiRuCl.

Unit cell a=3.0368 b=5.1470 c=11.6157 alpha=90.00 beta=90.00 gamma=90.00
With the nearest neighbours (Å) after each atom.
Space group Fmm2 (No. 42)
One atom of each set of equivalent atoms:
Si 0.0000 0.0000 0.0000 x4  2 Ru 2.26
Ru 0.0000 0.0000 0.3556 x4  2 Si 2.26
Cl 0.0000 0.0000 0.6755 x4  2 Si 2.54, 2 Ru 2.58

Output
DOS at the Fermi energy ... 1.6 states/eV/f.u.
ΔE_f (raw) ... 0.1979 eV/atom
ρ ... 6022 kg/m³

6.
## SnRuCl3 (PBEsol)

Data for a relaxed structure of SnRuCl3.

Unit cell a=4.7005 b=4.7005 c=4.7005 alpha=90.00 beta=90.00 gamma=90.00
With the nearest neighbours (Å) after each atom.
Space group Pm-3m (No. 221)
One atom of each set of equivalent atoms:
Sn 0.0000 0.0000 0.0000 x1  12 Cl 3.32
Ru 0.5000 0.5000 0.5000 x1  6 Cl 2.35
Cl 0.0000 0.5000 0.5000 x3  2 Ru 2.35

Output
DOS at the Fermi energy ... 3.9 states/eV/f.u.
ΔE_f (raw) ... -0.1038 eV/atom
ρ ... 5215 kg/m³

7.
## SnRu3Cl (PBEsol)

Data for a relaxed structure of SnRu3Cl.

Unit cell a=4.3353 b=4.3353 c=4.3353 alpha=90.00 beta=90.00 gamma=90.00
With the nearest neighbours (Å) after each atom.
Space group Pm-3m (No. 221)
One atom of each set of equivalent atoms:
Sn 0.0000 0.0000 0.0000 x1  12 Ru 3.07
Ru 0.0000 0.5000 0.5000 x3  2 Cl 2.17
Cl 0.5000 0.5000 0.5000 x1  6 Ru 2.17

Output
DOS at the Fermi energy ... 8.1 states/eV/f.u.
ΔE_f (raw) ... 1.0004 eV/atom
ρ ... 9321 kg/m³

8.
## Sr2RuCl (PBEsol)

Data for a relaxed structure of Sr2RuCl.

Unit cell a=4.1496 b=4.1496 c=12.1976 alpha=90.00 beta=90.00 gamma=90.00
With the nearest neighbours (Å) after each atom.
Space group I-4m2 (No. 119)
One atom of each set of equivalent atoms:
Sr 0.0000 0.0000 0.0000 x2  4 Cl 2.93
Sr 0.0000 0.5000 0.2500 x2  4 Ru 2.93
Ru 0.0000 0.5000 0.7500 x2  4 Sr 2.93
Cl 0.0000 0.0000 0.5000 x2  4 Sr 2.93

Output
DOS at the Fermi energy ... 5.5 states/eV/f.u.
Energy above the most stable polymorph in this dataset ... 328 meV per atom
ΔE_f (raw) ... -0.0509 eV/atom
ρ ... 4930 kg/m³

9.
## Sr3RuCl (PBEsol)

Data for a relaxed structure of Sr3RuCl.

Unit cell a=5.6549 b=5.6549 c=5.6549 alpha=90.00 beta=90.00 gamma=90.00
With the nearest neighbours (Å) after each atom.
Space group Pm-3m (No. 221)
One atom of each set of equivalent atoms:
Sr 0.0000 0.0000 0.5000 x3  2 Ru 2.83
Ru 0.0000 0.0000 0.0000 x1  6 Sr 2.83
Cl 0.5000 0.5000 0.5000 x1  12 Sr 4.00

Output
DOS at the Fermi energy ... 4.2 states/eV/f.u.
ΔE_f (raw) ... -0.1334 eV/atom
ρ ... 3667 kg/m³

10.
## Sr2RuCl (PBEsol)

Data for a relaxed structure of Sr2RuCl.

Unit cell a=7.5663 b=7.5649 c=3.3093 alpha=90.00 beta=90.12 gamma=90.00
With the nearest neighbours (Å) after each atom.
Space group C2/m (No. 12)
One atom of each set of equivalent atoms:
Sr 0.2500 0.2500 0.0000 x4  4 Cl 3.14-3.15, 4 Ru 3.14-3.15, 2 Sr 3.31
Ru 0.0000 0.0000 0.5000 x2  8 Sr 3.14-3.15, 2 Ru 3.31
Cl 0.0000 0.5000 0.5000 x2  8 Sr 3.14-3.15, 2 Cl 3.31

Output
DOS at the Fermi energy ... 3.1 states/eV/f.u.
Energy above the most stable polymorph in this dataset ... 0 meV per atom
ΔE_f (raw) ... -0.3793 eV/atom
ρ ... 5466 kg/m³

11.
## TaRu2Cl (PBEsol)

Data for a relaxed structure of TaRu2Cl.

Unit cell a=3.1140 b=4.9021 c=8.1842 alpha=90.00 beta=90.00 gamma=90.00
With the nearest neighbours (Å) after each atom.
Space group Cmmm (No. 65)
One atom of each set of equivalent atoms:
Ta 0.0000 0.0000 0.0000 x2  4 Ru 2.52
Ru 0.0000 0.5000 0.2426 x4  2 Ta 2.52, 2 Cl 2.62
Cl 0.0000 0.0000 0.5000 x2  4 Ru 2.62, 4 Cl 2.90

Output
DOS at the Fermi energy ... 3.7 states/eV/f.u.
Energy above the most stable polymorph in this dataset ... 120 meV per atom
ΔE_f (raw) ... 0.2808 eV/atom
ρ ... 11126 kg/m³

12.
## TaRuCl4 (PBEsol)

Data for a relaxed structure of TaRuCl4.

Unit cell a=7.5372 b=7.5372 c=7.5372 alpha=90.00 beta=90.00 gamma=90.00
With the nearest neighbours (Å) after each atom.
Space group F-43m (No. 216)
One atom of each set of equivalent atoms:
Ta 0.0000 0.0000 0.0000 x4  12 Cl 3.13, 4 Ru 3.26
Ru 0.2500 0.2500 0.7500 x4  12 Cl 3.12, 4 Ta 3.26
Cl 0.1249 0.1249 0.3751 x16  6 Cl 2.66-2.67

Output
DOS at the Fermi energy ... 9.2 states/eV/f.u.
ΔE_f (raw) ... 1.4227 eV/atom
ρ ... 6575 kg/m³

13.
## TaRu2Cl (PBEsol)

Data for a relaxed structure of TaRu2Cl.

Unit cell a=4.4585 b=4.4585 c=2.9934 alpha=90.00 beta=90.00 gamma=90.00
With the nearest neighbours (Å) after each atom.
Space group P4/mmm (No. 123)
One atom of each set of equivalent atoms:
Ta 0.0000 0.0000 0.0000 x1  8 Ru 2.69, 2 Ta 2.99
Ru 0.0000 0.5000 0.5000 x2  4 Cl 2.69, 4 Ta 2.69, 2 Ru 2.99
Cl 0.5000 0.5000 0.0000 x1  8 Ru 2.69, 2 Cl 2.99

Output
DOS at the Fermi energy ... 3.4 states/eV/f.u.
Energy above the most stable polymorph in this dataset ... 411 meV per atom
ΔE_f (raw) ... 0.5710 eV/atom
ρ ... 11680 kg/m³

14.
## TaRu2Cl (PBEsol)

Data for a relaxed structure of TaRu2Cl.

Unit cell a=3.0066 b=3.0066 c=24.0591 alpha=90.00 beta=90.00 gamma=120.00
With the nearest neighbours (Å) after each atom.
Space group R-3m (No. 166, hexagonal axes)
One atom of each set of equivalent atoms:
Ta 0.0000 0.0000 0.0000 x3  6 Ru 2.60
Ru 0.0000 0.0000 0.2528 x6  3 Ta 2.60, 3 Cl 2.70
Cl 0.0000 0.0000 0.5000 x3  6 Ru 2.70, 6 Cl 3.01

Output
DOS at the Fermi energy ... 3.6 states/eV/f.u.
Energy above the most stable polymorph in this dataset ... 0 meV per atom
ΔE_f (raw) ... 0.1603 eV/atom
ρ ... 11070 kg/m³